[1]
GaSiAs2: relaxed, PBE-GGA.

DOS(E_F)   2.286 states/eV per cell
Uncorrected formation energy   375 meV per atom
Space group   Fm-3m (225)

a = 4.695 Å, b = 4.695 Å, c = 4.695 Å
α = 60.00°, β = 60.00°, γ = 60.00°
Element x y z (fractional)
1 Si 0.000 0.000 0.000
2 As 0.750 0.750 0.750
3 As 0.250 0.250 0.250
4 Ga 0.500 0.500 0.500


[2]
ScCr3Ga: relaxed, PBE-GGA.

Formation energy from the elements   1.6431 eV per atom
DOS(E_F)   2.469 states/eV per cell
Space group   Pm-3m (221)

a = 4.665 Å, b = 4.665 Å, c = 4.665 Å
α = 90.00°, β = 90.00°, γ = 90.00°
Element x y z (fractional)
1 Cr 0.000 0.000 0.500
2 Cr 0.500 0.000 0.000
3 Cr 0.000 0.500 0.000
4 Sc 0.000 0.000 0.000
5 Ga 0.500 0.500 0.500


[3]
SrAlTeO6: relaxed, PBE-GGA.

DOS(E_F)   15.155 states/eV per cell
Uncorrected formation energy   -1945 meV per atom
Space group   P-31c (163)

a = 5.152 Å, b = 5.152 Å, c = 10.901 Å
α = 90.00°, β = 90.00°, γ = 120.00°
Element x y z (fractional)
1 Te 0.667 0.333 0.750
2 Te 0.333 0.667 0.250
3 O 0.003 0.377 0.652
4 O 0.625 0.623 0.152
5 O 0.375 0.377 0.848
6 O 0.997 0.623 0.348
7 O 0.623 0.625 0.652
8 O 0.375 0.997 0.652
9 O 0.003 0.625 0.848
10 O 0.623 0.997 0.848
11 O 0.997 0.375 0.152
12 O 0.377 0.003 0.152
13 O 0.625 0.003 0.348
14 O 0.377 0.375 0.348
15 Al 0.333 0.667 0.750
16 Al 0.667 0.333 0.250
17 Sr 0.000 0.000 0.500
18 Sr 0.000 0.000 0.000


[4]
DyScPb2: relaxed, PBE-GGA.

Formation energy from the elements   -0.3580 eV per atom
DOS(E_F)   4.486 states/eV per cell
Space group   P4/mmm (123)

a = 4.392 Å, b = 4.907 Å, c = 4.907 Å
α = 90.00°, β = 90.00°, γ = 90.00°
Element x y z (fractional)
1 Dy 0.500 0.500 0.500
2 Sc 0.500 0.000 0.000
3 Pb 0.000 0.000 0.500
4 Pb 0.000 0.500 0.000


[5]
B5C7: relaxed, PBE-GGA.

Formation energy from the elements   0.3330 eV per atom
DOS(E_F)   2.302 states/eV per cell
Space group   Pmm2 (25)

a = 2.510 Å, b = 2.469 Å, c = 12.600 Å
α = 90.00°, β = 90.00°, γ = 90.00°
Element x y z (fractional)
1 C 0.000 0.000 0.020
2 C 0.000 0.000 0.327
3 C 0.500 0.500 0.471
4 C 0.500 0.000 0.260
5 C 0.000 0.500 0.403
6 C 0.500 0.500 0.845
7 C 0.000 0.500 0.087
8 B 0.000 0.000 0.660
9 B 0.500 0.000 0.932
10 B 0.000 0.500 0.768
11 B 0.500 0.500 0.171
12 B 0.500 0.000 0.556


[6]
K9Rb2Hg3: relaxed, PBE-GGA.

Formation energy from the elements   -0.0936 eV per atom
DOS(E_F)   15.667 states/eV per cell
Space group   C2/c (15)

a = 11.493 Å, b = 11.493 Å, c = 15.448 Å
α = 89.79°, β = 110.32°, γ = 122.56°
Element x y z (fractional)
1 Hg 0.500 0.000 0.000
2 Hg 0.816 0.136 0.483
3 Hg 0.500 0.500 0.500
4 Hg 0.153 0.333 0.017
5 Hg 0.184 0.864 0.517
6 Hg 0.847 0.667 0.983
7 K 0.402 0.595 0.922
8 K 0.793 0.313 0.935
9 K 0.165 0.014 0.962
10 K 0.552 0.202 0.538
11 K 0.827 0.520 0.422
12 K 0.072 0.822 0.250
13 K 0.835 0.986 0.038
14 K 0.598 0.405 0.078
15 K 0.343 0.313 0.251
16 K 0.207 0.687 0.065
17 K 0.928 0.178 0.750
18 K 0.657 0.687 0.749
19 K 0.448 0.798 0.462
20 K 0.173 0.480 0.578
21 K 0.122 0.142 0.435
22 K 0.562 0.092 0.249
23 K 0.438 0.908 0.751
24 K 0.878 0.858 0.565
25 Rb 0.986 0.613 0.754
26 Rb 0.359 0.232 0.746
27 Rb 0.641 0.768 0.254
28 Rb 0.014 0.387 0.246


[7]
Mg2AgSb: relaxed, PBE-GGA.

DOS(E_F)   0.041 states/eV per cell
Uncorrected formation energy   -133 meV per atom
Space group   Fm-3m (225)

a = 4.985 Å, b = 4.985 Å, c = 4.985 Å
α = 60.00°, β = 60.00°, γ = 60.00°
Element x y z (fractional)
1 Mg 0.250 0.250 0.250
2 Mg 0.750 0.750 0.750
3 Ag 0.000 0.000 0.000
4 Sb 0.500 0.500 0.500


[8]
LiMg3Bi: relaxed, PBE-GGA.

Formation energy from the elements   0.4097 eV per atom
DOS(E_F)   3.831 states/eV per cell
Space group   Pm-3m (221)

a = 5.668 Å, b = 5.668 Å, c = 5.668 Å
α = 90.00°, β = 90.00°, γ = 90.00°
Element x y z (fractional)
1 Mg 0.000 0.000 0.500
2 Mg 0.000 0.500 0.000
3 Mg 0.500 0.000 0.000
4 Li 0.500 0.500 0.500
5 Bi 0.000 0.000 0.000